Record 1
# LaZr3Ni

A relaxed LaZr3Ni crystal (PBE, Alexandria).

Properties
The crystal system is cubic. Its distance to the lowest polymorph of the same formula is 0 meV per atom.

Lattice parameters (Å, degrees): 5.0070 5.0070 5.0070 90.00 90.00 90.00
Last column: nearest neighbours and their distance in Å.
Atoms (fractional coordinates):
1 La 0.0000 0.0000 0.0000  12 Zr 3.54
2 Zr 0.0000 0.5000 0.5000  2 Ni 2.50
3 Zr 0.5000 0.0000 0.5000  2 Ni 2.50
4 Zr 0.5000 0.5000 0.0000  2 Ni 2.50
5 Ni 0.5000 0.5000 0.5000  6 Zr 2.50

---

Record 2
# Sr3IrOs

A relaxed Sr3IrOs crystal (PBE, Alexandria).

Properties
The crystal system is cubic. Its distance to the lowest polymorph of the same formula is 0 meV per atom.

Lattice parameters (Å, degrees): 5.6254 5.6254 5.6254 90.00 90.00 90.00
Last column: nearest neighbours and their distance in Å.
Atoms (fractional coordinates):
1 Sr 0.0000 0.0000 0.5000  2 Ir 2.81
2 Sr 0.0000 0.5000 0.0000  2 Ir 2.81
3 Sr 0.5000 0.0000 0.0000  2 Ir 2.81
4 Ir 0.0000 0.0000 0.0000  6 Sr 2.81
5 Os 0.5000 0.5000 0.5000  12 Sr 3.98

---

Record 3
# FeICl5

A relaxed FeICl5 crystal (PBE, Alexandria).

Properties
The uncorrected formation energy comes out at -506 meV/atom. The crystal system is triclinic.

Lattice parameters (Å, degrees): 7.9284 8.7244 9.0696 87.15 83.61 63.09
Last column: nearest neighbours and their distance in Å.
Atoms (fractional coordinates):
1 Fe 0.0000 0.0000 0.0000  4 Cl 2.13-2.15
2 Fe 0.4093 0.1832 0.5006  4 Cl 2.13-2.15
3 I 0.7041 0.5925 0.7508  2 Cl 2.56-2.58
4 I 0.7051 0.5907 0.2508  2 Cl 2.56-2.58
5 Cl 0.0837 0.8262 0.8163  1 Fe 2.15
6 Cl 0.0894 0.8283 0.1830  1 Fe 2.13
7 Cl 0.1202 0.1721 0.0248  1 Fe 2.14
8 Cl 0.2887 0.0128 0.4761  1 Fe 2.13
9 Cl 0.3200 0.3547 0.3174  1 Fe 2.13
10 Cl 0.3258 0.3568 0.6841  1 Fe 2.15
11 Cl 0.6266 0.7463 0.0026  2 I 2.56-2.58
12 Cl 0.7022 0.0111 0.5249  1 Fe 2.15
13 Cl 0.7080 0.1705 0.9761  1 Fe 2.14
14 Cl 0.7824 0.4367 0.5020  2 I 2.56-2.58

---

| no. | spin magnetization (μB/f.u.) |
| --- | --- |
| 1 | 0.0 |
| 2 | 1.2 |
| 3 | 4.1 |